{"formula": "KNiSe", "functional": "GGA-PBE", "state": "relaxed", "lattice_angstrom": [[4.5787, 0.0000, 0.0000], [2.2893, 3.9652, 0.0000], [2.2893, 1.3217, 3.7385]], "species": ["K", "Se", "Ni"], "fractional_positions": [[0.5000, 0.5000, 0.5000], [0.0000, 0.0000, 0.0000], [0.7500, 0.7500, 0.7500]], "raw_formation_energy_ev_per_atom": 0.028}

---

{"formula": "ZrCr2Pt", "functional": "GGA-PBE", "state": "relaxed", "lattice_angstrom": [[4.6595, -0.4068, 0.0000], [1.1450, 4.5349, 0.0000], [-2.9022, -2.0641, 3.0320]], "species": ["Zr", "Cr", "Cr", "Pt"], "fractional_positions": [[0.7500, 0.2500, 0.5000], [0.2500, 0.7500, 0.5000], [0.0000, 0.0000, 0.0000], [0.5000, 0.5000, 0.0000]], "ef_ev_per_atom": -0.21}

---

{"formula": "HfI4", "functional": "GGA-PBE", "state": "relaxed", "lattice_angstrom": [[5.6821, 0.0000, 0.0000], [0.0000, 5.6821, 0.0000], [0.0000, 0.0000, 5.6821]], "species": ["Hf", "I", "I", "I", "I"], "fractional_positions": [[0.5000, 0.5000, 0.5000], [0.0000, 0.5000, 0.5000], [0.5000, 0.5000, 0.0000], [0.0000, 0.0000, 0.0000], [0.5000, 0.0000, 0.5000]], "raw_formation_energy_ev_per_atom": -0.347}

---

{"formula": "Pr2Sm5Tm5", "functional": "GGA-PBE", "state": "relaxed", "lattice_angstrom": [[4.9512, 0.0000, 1.0580], [2.1826, 7.4782, 1.9002], [0.2955, 0.6232, 10.7311]], "species": ["Tm", "Tm", "Tm", "Tm", "Tm", "Sm", "Sm", "Sm", "Sm", "Sm", "Pr", "Pr"], "fractional_positions": [[0.7508, 0.2473, 0.2510], [0.8308, 0.8374, 0.5010], [0.0000, 0.0000, 0.0000], [0.2492, 0.7527, 0.7490], [0.1692, 0.1626, 0.4990], [0.4141, 0.9208, 0.2510], [0.6656, 0.6680, 0.0007], [0.5000, 0.5000, 0.5000], [0.5859, 0.0792, 0.7490], [0.3344, 0.3320, 0.9993], [0.9172, 0.4177, 0.7478], [0.0828, 0.5823, 0.2522]], "ef_ev_per_atom": 0.02}

---

{"formula": "Ho2ThCo", "functional": "GGA-PBE", "state": "relaxed", "lattice_angstrom": [[3.4057, 0.0000, 0.0000], [0.0000, 3.4057, 0.0000], [0.0000, 0.0000, 8.6674]], "species": ["Ho", "Ho", "Co", "Th"], "fractional_positions": [[0.0000, 0.0000, 0.8153], [0.0000, 0.0000, 0.1847], [0.5000, 0.5000, 0.0000], [0.5000, 0.5000, 0.5000]], "ef_ev_per_atom": -0.05}

---

{"formula": "MnPdN2", "functional": "GGA-PBE", "state": "relaxed", "lattice_angstrom": [[1.5719, 0.0000, 6.2740], [-0.7860, 1.3613, 6.2740], [-0.7860, -1.3613, 6.2740]], "species": ["Pd", "Mn", "N", "N"], "fractional_positions": [[0.0000, 0.0000, 0.0000], [0.5000, 0.5000, 0.5000], [0.1059, 0.1059, 0.1059], [0.8941, 0.8941, 0.8941]], "raw_formation_energy_ev_per_atom": 0.192}

---

Question: Which formula does entry 1 have?
Answer: KNiSe